TcIr5Rh4 | GGA-PBE | relaxed

Calculated values
Density of states at the Fermi level   10.62 states/eV per cell
Relative energy among the computed polymorphs   11.8 meV/atom
Crystal system   monoclinic
Calculated total energy   -0.311 hartree per atom
Total magnetization   0.00 μB per formula unit
Space group   C2/m (12)

The structure in extended XYZ format:
```
10
Lattice="3.7187 0.0000 -1.0183 -0.7377 4.6812 -2.6939 0.2496 -0.0475 8.2105" Properties=species:S:1:pos:R:3 pbc="T T T"
Rh 2.4791 1.3766 1.7542
Ir 2.1176 3.7335 0.4341
Rh 3.4798 0.4327 5.4084
Tc 1.8593 0.0000 -0.5092
Rh -0.2493 4.2010 -0.9102
Ir 1.1129 0.9002 4.0641
Ir 1.4905 2.3406 -1.8561
Ir 3.1081 2.7897 4.0511
Ir 0.1224 1.8440 0.4471
Rh 0.7514 3.2571 2.7441
```


CuNi8Ge2 | GGA-PBE | relaxed

Calculated values
Density of states at the Fermi level   10.84 states/eV per cell
Crystal system   monoclinic
Calculated total energy   -0.200 hartree per atom
Total magnetization   0.00 μB per formula unit
Space group   C2/m (12)

The structure in extended XYZ format:
```
11
Lattice="-2.6151 0.4134 -3.2429 2.3639 -1.9907 -5.5979 -0.7850 -5.9979 -1.8506" Properties=species:S:1:pos:R:3 pbc="T T T"
Ni -0.3918 -0.9027 -5.5746
Ni 0.1406 -0.6745 -3.2662
Ni 0.2037 -3.9524 -6.8082
Ni 1.1968 -6.4172 -6.9070
Cu -1.3076 0.2067 -1.6214
Ni -1.2399 -3.6227 -3.8831
Ge 1.1567 -5.0609 -5.0159
Ge 0.4222 -2.9277 -2.4326
Ni -2.2330 -1.1579 -3.7844
Ni -2.1471 -4.9409 -6.0548
Ni 1.1109 -2.6342 -4.6365
```


Repeat the second record exactly.
CuNi8Ge2 | GGA-PBE | relaxed

Calculated values
Density of states at the Fermi level   10.84 states/eV per cell
Crystal system   monoclinic
Calculated total energy   -0.200 hartree per atom
Total magnetization   0.00 μB per formula unit
Space group   C2/m (12)

The structure in extended XYZ format:
```
11
Lattice="-2.6151 0.4134 -3.2429 2.3639 -1.9907 -5.5979 -0.7850 -5.9979 -1.8506" Properties=species:S:1:pos:R:3 pbc="T T T"
Ni -0.3918 -0.9027 -5.5746
Ni 0.1406 -0.6745 -3.2662
Ni 0.2037 -3.9524 -6.8082
Ni 1.1968 -6.4172 -6.9070
Cu -1.3076 0.2067 -1.6214
Ni -1.2399 -3.6227 -3.8831
Ge 1.1567 -5.0609 -5.0159
Ge 0.4222 -2.9277 -2.4326
Ni -2.2330 -1.1579 -3.7844
Ni -2.1471 -4.9409 -6.0548
Ni 1.1109 -2.6342 -4.6365
```